The following is a PBE-GGA calculation of Cr2CdMo after structural relaxation, from the Alexandria database.

Cell: 2.603 2.603 8.893 Å, 90.00 90.00 90.00°
Atoms (fractional coordinates):
Cd (0.500, 0.500, 0.750)
Cr (0.000, 0.000, 0.493)
Cr (0.000, 0.000, 0.007)
Mo (0.500, 0.500, 0.250)

The following is a PBE-GGA calculation of Cr2CdMo after structural relaxation, from the Alexandria database.

Cell: 5.164 5.164 2.613 Å, 79.69 79.69 115.79°
Atoms (fractional coordinates):
Cr (0.500, 0.500, 0.000)
Cr (0.000, 0.000, 0.000)
Cd (0.000, 0.500, 0.500)
Mo (0.500, 0.000, 0.500)

The following is a PBE-GGA calculation of Cr2CdMo after structural relaxation, from the Alexandria database.

Cell: 4.224 2.720 5.619 Å, 76.94 90.00 90.00°
Atoms (fractional coordinates):
Cr (0.000, 0.969, 0.066)
Cr (0.000, 0.531, 0.434)
Cd (0.500, 0.750, 0.750)
Mo (0.500, 0.250, 0.250)

no.,magnetization (μB per atom),calculated total energy (eV per atom)
1,0.000,-7.130
2,0.000,-7.169
3,0.000,-7.294